A relaxed YTm2Ni crystal. Source: Alexandria, functional GGA-PBE.

Values from the calculation:
Magnetic moment: 0.00 μB/f.u.
Formation energy from the elements: -97 meV/atom
Total DFT energy (no corrections): -5.39 eV per atom
Volume: 322 Å³/cell

a b c (Å): 3.6547 3.6547 27.8316
angles (deg): 90.00 90.00 120.00
With the nearest neighbours (Å) after each atom.
Space group R-3m (No. 166, hexagonal axes)
Asymmetric unit:
Y 0.0000 0.0000 0.0000  6 Tm 3.65, 6 Y 3.65
Tm 0.0000 0.0000 0.2262  3 Ni 2.68
Ni 0.0000 0.0000 0.5000  6 Tm 2.68